Entry 1:
Here is Th2ReTc3 after structural relaxation from Alexandria. Energies are from PBE.

Unit cell a=5.5275 b=5.5275 c=5.2848 alpha=98.99 beta=116.29 gamma=115.28
Positions (direct):
Re 0.0000 0.0000 0.0000
Tc 0.0000 0.0000 0.5000
Tc 0.5000 0.0000 0.5000
Th 0.7475 0.3755 0.1230
Th 0.2525 0.6245 0.8770
Tc 0.5000 0.5000 0.5000


Entry 2:
Here is Cd2SbPd3 after structural relaxation from Alexandria. Energies are from PBE.

For the energy above the most stable polymorph in this dataset, the calculation gives 0 meV per atom.

Unit cell a=3.3350 b=4.6372 c=14.0312 alpha=90.00 beta=90.00 gamma=90.00
Positions (direct):
Pd 0.5000 0.5000 0.6588
Pd 0.5000 0.0000 0.1588
Pd 0.5002 0.5000 0.0000
Sb 0.0002 0.0000 0.0000
Sb 0.9998 0.5000 0.5000
Pd 0.4998 0.0000 0.5000
Cd 0.0000 0.5000 0.8253
Pd 0.5000 0.5000 0.3412
Pd 0.5000 0.0000 0.8412
Cd 0.0000 0.5000 0.1747
Cd 0.0000 0.0000 0.6747
Cd 0.0000 0.0000 0.3253


Entry 3:
Here is CsBi2Pb2 after structural relaxation from Alexandria. Energies are from PBE.

For the energy above the most stable polymorph in this dataset, the calculation gives 111 meV per atom.

Unit cell a=9.7196 b=9.7196 c=4.1176 alpha=90.00 beta=90.00 gamma=90.00
Positions (direct):
Pb 0.8576 0.3576 0.5000
Bi 0.1255 0.3745 0.0000
Pb 0.6424 0.8576 0.5000
Cs 0.5000 0.5000 0.0000
Cs 0.0000 0.0000 0.0000
Bi 0.8745 0.6255 0.0000
Pb 0.3576 0.1424 0.5000
Bi 0.3745 0.8745 0.0000
Pb 0.1424 0.6424 0.5000
Bi 0.6255 0.1255 0.0000


Entry 4:
Here is BaCa6Au2 after structural relaxation from Alexandria. Energies are from PBE.

Unit cell a=4.5794 b=9.1530 c=9.1530 alpha=93.03 beta=75.54 gamma=75.54
Positions (direct):
Ca 0.7386 0.6227 0.9000
Ca 0.2614 0.3774 0.1000
Ca 0.5000 0.3575 0.6425
Ca 0.7386 0.9000 0.6227
Au 0.2944 0.7055 0.7055
Ca 0.5000 0.6425 0.3575
Ba 0.0000 0.0000 0.0000
Ca 0.2614 0.1000 0.3773
Au 0.7056 0.2945 0.2945


Entry 5:
Here is Rh2SeCl after structural relaxation from Alexandria. Energies are from PBE.

For the energy above the most stable polymorph in this dataset, the calculation gives 310 meV per atom.

Unit cell a=4.4555 b=4.4555 c=4.4555 alpha=60.00 beta=60.00 gamma=60.00
Each line ends with the local moment (μB).
Positions (direct):
Se 0.5000 0.5000 0.5000  -0.01
Rh 0.2500 0.2500 0.2500  0.17
Rh 0.7500 0.7500 0.7500  0.17
Cl 0.0000 0.0000 0.0000  0.01


Entry 6:
Here is K2RbAg9 after structural relaxation from Alexandria. Energies are from PBE.

Unit cell a=5.8905 b=5.8905 c=10.2017 alpha=73.22 beta=73.22 gamma=60.00
Positions (direct):
Ag 0.3321 0.3321 0.0037
Ag 0.5803 0.5803 0.7561
Ag 0.6679 0.6679 0.9963
Ag 0.4197 0.9166 0.2439
Ag 0.5803 0.0834 0.7561
Ag 0.9166 0.4197 0.2439
Ag 0.4197 0.4197 0.2439
Ag 0.5000 0.5000 0.5000
K 0.1424 0.1424 0.5727
Ag 0.0834 0.5803 0.7561
Rb 0.0000 0.0000 0.0000
K 0.8576 0.8576 0.4273


Entry 7:
Here is Nd6CdIn3 after structural relaxation from Alexandria. Energies are from PBE.

For the energy above the most stable polymorph in this dataset, the calculation gives 150 meV per atom.

Unit cell a=8.7128 b=8.1494 c=9.0569 alpha=90.00 beta=92.39 gamma=90.00
Positions (direct):
Nd 0.8218 0.6696 0.5710
Nd 0.7659 0.3916 0.2607
Nd 0.8488 0.6427 0.9378
In 0.4528 0.1681 0.2242
Nd 0.1782 0.3304 0.4290
Nd 0.3218 0.8304 0.0710
Nd 0.6782 0.1696 0.9290
Nd 0.3488 0.8573 0.4378
Nd 0.1512 0.3573 0.0622
Cd 0.0000 0.0000 0.0000
Nd 0.7341 0.8916 0.2393
In 0.5472 0.8319 0.7758
In 0.0000 0.0000 0.5000
Nd 0.6512 0.1427 0.5622
In 0.0472 0.6681 0.2758
Nd 0.2659 0.1084 0.7607
In 0.9528 0.3319 0.7242
Nd 0.2341 0.6084 0.7393
Cd 0.5000 0.5000 0.5000
In 0.5000 0.5000 0.0000


Entry 8:
Here is Tl3H4Br after structural relaxation from Alexandria. Energies are from PBE.

Unit cell a=4.4651 b=4.4477 c=9.6142 alpha=66.31 beta=80.95 gamma=93.68
Positions (direct):
H 0.0072 0.9506 0.6831
H 0.5906 0.1990 0.4348
Br 0.3237 0.6466 0.0639
Tl 0.8580 0.9447 0.2599
Tl 0.3066 0.2904 0.5610
Tl 0.8002 0.3921 0.8657
H 0.1310 0.6444 0.4432
H 0.4827 0.4320 0.6885


Entry 9:
Here is Sm5ScCd6 after structural relaxation from Alexandria. Energies are from PBE.

Unit cell a=5.2967 b=7.6129 c=8.4116 alpha=90.00 beta=71.65 gamma=90.00
Each line ends with the local moment (μB).
Positions (direct):
Cd 0.1597 0.7599 0.6805  0.01
Cd 0.5000 0.2381 0.0000  0.01
Sm 0.3342 0.0000 0.3317  0.11
Sm 0.0000 0.5000 0.0000  0.14
Sm 0.6706 0.5000 0.6587  0.18
Sc 0.0000 0.0000 0.0000  0.15
Cd 0.5000 0.7619 0.0000  0.01
Cd 0.8403 0.7599 0.3195  0.01
Sm 0.6658 0.0000 0.6683  0.11
Cd 0.1597 0.2401 0.6805  0.01
Sm 0.3294 0.5000 0.3413  0.18
Cd 0.8403 0.2401 0.3195  0.01


Entry 10:
Here is Cs2YMnS4 after structural relaxation from Alexandria. Energies are from PBE.

Unit cell a=6.3869 b=8.1370 c=13.0798 alpha=84.50 beta=75.87 gamma=66.89
Each line ends with the local moment (μB).
Positions (direct):
S 0.4114 0.6973 0.4137  0.00
Y 0.0000 0.0000 0.0000  0.09
S 0.5751 0.1973 0.0863  0.00
S 0.8914 0.6973 0.5863  0.00
S 0.5223 0.3027 0.5863  0.00
S 0.1749 0.3027 0.4137  0.00
Mn 0.5000 0.0000 0.0000  3.42
S 0.3386 0.8027 0.0863  0.00
S 0.8586 0.8027 0.9137  0.00
Cs 0.8185 0.0000 0.3630  0.00
Cs 0.9315 0.5000 0.1370  0.00
Y 0.7500 0.5000 0.5000  0.09
Cs 0.5685 0.5000 0.8630  0.00
Cs 0.1815 0.0000 0.6370  0.00
S 0.2277 0.1973 0.9137  0.00
Mn 0.2500 0.5000 0.5000  3.42


Entry 11:
Here is BaLiOs2 after structural relaxation from Alexandria. Energies are from PBE.

For the energy above the most stable polymorph in this dataset, the calculation gives 0 meV per atom.

Unit cell a=4.2621 b=4.2621 c=6.4098 alpha=70.67 beta=70.67 gamma=59.99
Positions (direct):
Os 0.0125 0.0125 0.9628
Li 0.2973 0.2973 0.1092
Os 0.6943 0.6943 0.9170
Ba 0.4960 0.4960 0.5109


Entry 12:
Here is Ce4NdSe7 after structural relaxation from Alexandria. Energies are from PBE.

Unit cell a=4.1242 b=7.2659 c=12.4420 alpha=104.36 beta=90.00 gamma=106.49
Each line ends with the local moment (μB).
Positions (direct):
Nd 0.8851 0.7701 0.5775  0.03
Ce 0.3013 0.6025 0.1899  1.01
Ce 0.1141 0.2282 0.4226  0.94
Se 0.7383 0.4766 0.3499  -0.02
Se 0.4995 0.9990 0.4991  -0.01
Se 0.9585 0.9170 0.2153  -0.03
Ce 0.0005 0.0009 0.9999  0.92
Se 0.0421 0.0841 0.7847  -0.02
Se 0.6589 0.3178 0.0512  -0.03
Se 0.2605 0.5209 0.6503  -0.02
Ce 0.6994 0.3989 0.8105  0.99
Se 0.3420 0.6839 0.9492  -0.03


no.,energy (eV/cell)
1,-59.1
2,-47.6
3,-33.0
4,-23.3
5,-19.0
6,-28.6
7,-79.4
8,-21.5
9,-39.0
10,-86.9
11,-25.4
12,-74.6